This record from the Alexandria database describes a relaxed structure of OsRh2WI. The functional is GGA-PBE.

Uncorrected formation energy   2.3921 eV/atom
SG   No. 123

POSCAR file:
```
OsRh2WI
1.0
4.691 0.000 0.000
0.000 4.905 0.000
0.000 0.000 4.691
I Os Rh W
1 1 2 1
Direct
0.000 0.000 0.000
0.500 0.500 0.500
0.500 0.000 0.000
0.000 0.000 0.500
0.000 0.500 0.000
```